# PaTlN (PBE, optimized geometry)
data_PaTlN
_cell_length_a 3.724
_cell_length_b 21.049
_cell_length_c 4.418
_cell_angle_alpha 90.00
_cell_angle_beta 90.00
_cell_angle_gamma 90.00
_space_group_name_H-M_alt 'C m c m'
_space_group_IT_number 63
_space_group_name_Hall '-C 2c 2'
loop_
_atom_site_label
_atom_site_type_symbol
_atom_site_fract_x
_atom_site_fract_y
_atom_site_fract_z
Pa1 Pa 0.000 0.123 0.250
Tl1 Tl 0.000 0.289 0.250
N1 N 0.000 0.417 0.750
# - Relative energy among the computed polymorphs: 428 meV per atom
# - Energy relative to the elements, uncorrected: -0.305 eV/atom
# - Crystal system: orthorhombic
# - DFT total energy: -7.0339 eV per atom



# MgIrRh2 (PBE, optimized geometry)
data_MgIrRh2
_cell_length_a 2.781
_cell_length_b 2.781
_cell_length_c 7.694
_cell_angle_alpha 90.00
_cell_angle_beta 90.00
_cell_angle_gamma 90.00
_space_group_name_H-M_alt 'P 4 m m'
_space_group_IT_number 99
_space_group_name_Hall 'P 4 -2'
loop_
_atom_site_label
_atom_site_type_symbol
_atom_site_fract_x
_atom_site_fract_y
_atom_site_fract_z
Mg1 Mg 0.000 0.000 0.000
Ir1 Ir 0.500 0.500 0.737
Rh1 Rh 0.000 0.000 0.500
Rh2 Rh 0.500 0.500 0.258
# - Crystal system: tetragonal
# - DFT total energy: -6.4351 eV per atom
# - DFT formation energy: -0.1455 eV per atom



# ErTh2In3 (PBE, optimized geometry)
data_ErTh2In3
_cell_length_a 11.500
_cell_length_b 10.266
_cell_length_c 5.977
_cell_angle_alpha 90.00
_cell_angle_beta 90.00
_cell_angle_gamma 90.00
_space_group_name_H-M_alt 'C m c m'
_space_group_IT_number 63
_space_group_name_Hall '-C 2c 2'
loop_
_atom_site_label
_atom_site_type_symbol
_atom_site_fract_x
_atom_site_fract_y
_atom_site_fract_z
Er1 Er 0.000 0.106 0.250
Th1 Th 0.131 0.274 0.750
In1 In 0.000 0.418 0.250
In2 In 0.221 0.000 0.000
# - Relative energy among the computed polymorphs: 228 meV per atom
# - Crystal system: orthorhombic
# - DFT total energy: -4.7115 eV per atom
# - DFT formation energy: -0.1086 eV per atom